Entry from Alexandria via LeMat-Bulk: a relaxed HfV2CdPb crystal (GGA-PBE).

Cell lengths 4.8288, 5.5405, 4.8288 Å; angles 90.00, 90.00, 90.00 degrees
With the nearest neighbours (Å) after each atom.
Atoms (fractional coordinates):
Pb1 0.0000 0.5000 0.0000  2 Hf 2.77
V1 0.0000 0.0000 0.5000  2 Hf 2.41
V2 0.5000 0.0000 0.0000  2 Hf 2.41
Hf1 0.0000 0.0000 0.0000  4 V 2.41
Cd1 0.5000 0.5000 0.5000  4 Pb 3.41, 8 V 3.67

Output
calculated total energy	-26.11	eV per cell
size of the total moment	2.952	μB/cell
calculated volume	25.8	Å³/atom

---

Entry from Alexandria via LeMat-Bulk: a relaxed HfCdPb2W crystal (GGA-PBE).

Cell lengths 5.5381, 5.4758, 5.5381 Å; angles 90.00, 90.00, 90.00 degrees
With the nearest neighbours (Å) after each atom.
Atoms (fractional coordinates):
Pb1 0.0000 0.0000 0.5000  2 Hf 2.77
Pb2 0.5000 0.0000 0.0000  2 Hf 2.77
Hf1 0.0000 0.0000 0.0000  2 Cd 2.74, 4 Pb 2.77
W1 0.5000 0.5000 0.5000  8 Pb 3.89, 4 Cd 3.92
Cd1 0.0000 0.5000 0.0000  2 Hf 2.74

Output
calculated total energy	-22.67	eV per cell
size of the total moment	4.007	μB/cell
calculated volume	33.6	Å³/atom

---

Q: calculated total energy of number 2 (HfCdPb2W)?
A: -22.67 eV per cell